## K6PdF12 (GGA-PBE)

Data for an optimized crystal structure of K6PdF12.

Cell lengths 7.326, 7.326, 7.326 Å; angles 98.69, 98.69, 98.69 degrees
Positions (direct):
1 K 0.158 0.276 0.610
2 K 0.276 0.610 0.158
3 K 0.390 0.842 0.724
4 K 0.610 0.158 0.276
5 K 0.724 0.390 0.842
6 K 0.842 0.724 0.390
7 Pd 0.000 0.000 0.000
8 F 0.016 0.944 0.733
9 F 0.056 0.267 0.984
10 F 0.147 0.582 0.468
11 F 0.267 0.984 0.056
12 F 0.418 0.532 0.853
13 F 0.468 0.147 0.582
14 F 0.532 0.853 0.418
15 F 0.582 0.468 0.147
16 F 0.733 0.016 0.944
17 F 0.853 0.418 0.532
18 F 0.944 0.733 0.016
19 F 0.984 0.056 0.267

Output
As for the crystal system: trigonal. For the formation energy without anion corrections, the calculation gives -2.146 eV per atom. Its space-group type is No. 148.


## KPdF (GGA-PBE)

Data for an optimized crystal structure of KPdF.

Cell lengths 4.595, 4.595, 8.566 Å; angles 90.00, 90.00, 120.00 degrees
Positions (direct):
1 K 0.333 0.667 0.250
2 K 0.667 0.333 0.750
3 Pd 0.000 0.000 0.000
4 Pd 0.000 0.000 0.500
5 F 0.000 0.000 0.250
6 F 0.000 0.000 0.750

Output
As for the crystal system: hexagonal. The calculation puts the energy above the lowest structure with this stoichiometry at 0.417 eV per atom. For the formation energy without anion corrections, the calculation gives -0.996 eV per atom. Its space-group type is No. 194.


## K2PdF4 (GGA-PBE)

Data for an optimized crystal structure of K2PdF4.

Cell lengths 6.188, 6.188, 3.553 Å; angles 90.00, 90.00, 90.00 degrees
Positions (direct):
1 K 0.000 0.500 0.000
2 K 0.500 0.000 0.000
3 Pd 0.000 0.000 0.500
4 F 0.228 0.228 0.500
5 F 0.228 0.772 0.500
6 F 0.772 0.228 0.500
7 F 0.772 0.772 0.500

Output
As for the crystal system: tetragonal. The calculation puts the energy above the lowest structure with this stoichiometry at 0.000 eV per atom. For the formation energy without anion corrections, the calculation gives -2.179 eV per atom. Its space-group type is No. 123.


no.,mass density (g cm⁻³)
1,2.50
2,3.49
3,3.18